--- i ---
Entry from Alexandria via LeMat-Bulk: a relaxed YAlHg crystal (PBE).

Structure (POSCAR):
```
YAlHg
1.0
4.7510 0.0000 0.0000
2.3755 4.1145 0.0000
2.3755 1.3715 3.8792
Y Hg Al
1 1 1
Cartesian
0.0000 0.0000 0.0000
7.1266 4.1145 2.9094
4.7510 2.7430 1.9396
```

Calculated values
Crystal system   cubic
N(E_F)   0.213 states/eV per atom

---

--- ii ---
Entry from Alexandria via LeMat-Bulk: a relaxed YAlHg crystal (PBE).

Structure (POSCAR):
```
YAlHg
1.0
-6.1286 -1.7645 -0.2220
1.0045 -3.8184 2.6184
-1.6479 4.7690 7.5867
Y Al Hg
4 4 4
Cartesian
-2.4115 0.4572 3.7348
-1.8414 1.1892 8.8697
-4.3604 -1.2711 6.2482
-4.9305 -2.0032 1.1134
-2.9339 -2.7077 3.6060
-6.8437 0.8421 5.9966
-3.8380 1.8938 6.3770
0.0718 -1.6561 3.9865
-1.2238 -0.3446 6.3960
-4.8187 0.3086 8.7277
-5.5481 -0.4694 3.5870
-1.9532 -1.1225 1.2554
```

Calculated values
Crystal system   orthorhombic
N(E_F)   0.696 states/eV per atom

---

--- iii ---
Entry from Alexandria via LeMat-Bulk: a relaxed YAlHg crystal (PBE).

Structure (POSCAR):
```
YAlHg
1.0
4.6652 0.0000 0.0000
-2.3326 4.0402 0.0000
0.0000 0.0000 3.5974
Al Y Hg
1 1 1
Cartesian
0.0000 0.0000 0.6014
0.0000 2.6935 2.3980
2.3326 1.3467 0.5980
```

Calculated values
Crystal system   hexagonal
N(E_F)   0.502 states/eV per atom

---

--- iv ---
Entry from Alexandria via LeMat-Bulk: a relaxed YAlHg crystal (PBE).

Structure (POSCAR):
```
YAlHg
1.0
4.3359 0.0000 0.0000
0.0000 4.3359 0.0000
0.0000 0.0000 7.4252
Y Al Hg
2 2 2
Cartesian
0.0000 2.1680 1.2530
2.1680 0.0000 6.1722
0.0000 0.0000 3.7126
2.1680 2.1680 3.7126
2.1680 0.0000 1.8645
0.0000 2.1680 5.5607
```

Calculated values
Crystal system   tetragonal
N(E_F)   0.697 states/eV per atom

---

Energies in kJ/mol of atoms, measured from the most stable structure: i 12.8; ii 12.0; iii 0.0; iv 8.5.